1.
Below is a relaxed TbPrSmZn crystal, with properties calculated at the PBE level.

Lattice parameters (Å, degrees): 5.451 5.451 5.451 60.00 60.00 60.00
Element x y z (fractional)
Tb: 0.000 0.000 0.000
Pr: 0.750 0.750 0.750
Sm: 0.250 0.250 0.250
Zn: 0.500 0.500 0.500

Calculated values
total magnetic moment	0.000	μB per formula unit
formation energy from the elements	0.0422	eV per atom
polymorph energy (0 for the lowest one)	0.199	eV per atom

2.
Below is a relaxed TbPrSmZr crystal, with properties calculated at the PBE level.

Lattice parameters (Å, degrees): 5.580 5.580 5.580 60.00 60.00 60.00
Element x y z (fractional)
Tb: 0.000 0.000 0.000
Pr: 0.250 0.250 0.250
Sm: 0.500 0.500 0.500
Zr: 0.750 0.750 0.750

Calculated values
total magnetic moment	1.508	μB per formula unit
formation energy from the elements	0.2512	eV per atom

Question: What is the formula in the second record?
Answer: TbPrSmZr